No. 1
NpCuReO6 PBE-GGA relaxed; formation energy from raw total energies = -1538 kJ/mol of formula units; space-group type = P-31c (163)
1.0
-2.8646 4.3729 -1.1441
1.9787 -3.0130 -3.9553
-7.5421 -4.9428 -0.0079
O Cu Re Np
12 2 2 2
direct
0.3593 0.3347 0.3686
0.3593 0.0246 0.1314
0.0246 0.3594 0.6314
0.3347 0.9754 0.6314
0.0246 0.6653 0.8686
0.6653 0.6407 0.1314
0.6653 0.0246 0.3686
0.9754 0.6407 0.3686
0.3347 0.3594 0.8686
0.6407 0.6653 0.6314
0.6407 0.9754 0.8686
0.9754 0.3347 0.1314
0.0000 0.0000 0.5000
0.0000 0.0000 0.0000
0.6667 0.3333 0.2500
0.3333 0.6667 0.7500
0.6667 0.3333 0.7500
0.3333 0.6667 0.2500



No. 2
PS PBE-GGA relaxed; formation energy from raw total energies = 158 kJ/mol of formula units; ΔE to the lowest computed polymorph = 958.3 meV/atom; space-group type = Pm-3n (223)
1.0
-3.5379 5.8587 -0.5664
-1.3868 -1.4719 -6.5629
-5.7203 -3.2666 1.9413
P S
6 6
direct
0.2500 0.5000 0.0000
0.0000 0.2500 0.5000
0.7500 0.5000 0.0000
0.5000 0.0000 0.2500
0.0000 0.7500 0.5000
0.5000 0.0000 0.7500
0.0000 0.5000 0.2500
0.5000 0.7500 0.0000
0.7500 0.0000 0.5000
0.2500 0.0000 0.5000
0.5000 0.2500 0.0000
0.0000 0.5000 0.7500



No. 3
YBS2N PBE-GGA relaxed; formation energy from raw total energies = 531 kJ/mol of formula units; ΔE to the lowest computed polymorph = 1443.0 meV/atom; space-group type = P4/mmm (123)
1.0
-1.7571 0.5023 4.9655
-4.9879 -0.3581 -1.7288
0.1486 -4.5419 0.5120
Y S N B
1 2 1 1
direct
0.0000 0.0000 0.0000
0.0000 0.5000 0.0000
0.5000 0.0000 0.0000
0.0000 0.0000 0.5000
0.5000 0.5000 0.5000



No. 4
Ac8TbY6 PBE-GGA relaxed; space-group type = P-3 (147); E_form = 0.252 eV/atom
1.0
7.1776 0.0000 0.0000
0.0000 8.6567 -4.9979
0.0000 0.0000 9.9959
Y Ac Tb
6 8 1
direct
0.5977 0.3650 0.3288
0.4023 0.3288 0.9638
0.5977 0.9638 0.6350
0.4023 0.6350 0.6712
0.4023 0.0362 0.3650
0.5977 0.6712 0.0362
0.7289 0.3333 0.6667
0.8837 0.9516 0.3066
0.1163 0.6450 0.9516
0.8837 0.3550 0.0484
0.1163 0.3066 0.3550
0.1163 0.0484 0.6934
0.2711 0.6667 0.3333
0.8837 0.6934 0.6450
0.5000 0.0000 0.0000



No. 5
Rb2Te2Se5 PBE-GGA relaxed; formation energy from raw total energies = -372 kJ/mol of formula units; space-group type = C2/m (12)
1.0
-2.2177 4.1847 -2.7171
-5.7357 -6.7303 -0.1978
-0.6679 4.4367 7.3784
Se Te Rb
5 2 2
direct
0.9207 0.8415 0.3769
0.6747 0.3494 0.0378
0.0000 0.0000 0.0000
0.3253 0.6506 0.9622
0.0793 0.1585 0.6231
0.1544 0.3088 0.9458
0.8456 0.6912 0.0542
0.5518 0.1037 0.3038
0.4482 0.8963 0.6962



No. 6
Cs2K3US6 PBE-GGA relaxed; formation energy from raw total energies = -1356 kJ/mol of formula units; space-group type = C2/m (12)
1.0
8.2695 0.0014 -0.0405
-4.1315 7.1634 -0.0405
-1.4153 -2.4506 7.0696
S Cs K U
6 2 3 1
direct
0.0718 0.3259 0.2189
0.8135 0.8135 0.2015
0.1865 0.1865 0.7985
0.3259 0.0718 0.2189
0.9282 0.6741 0.7811
0.6741 0.9282 0.7811
0.6682 0.3318 0.0000
0.3318 0.6682 0.0000
0.5000 0.5000 0.5000
0.1584 0.8416 0.5000
0.8416 0.1584 0.5000
0.0000 0.0000 0.0000



No. 7
PmAs2Ru PBE-GGA relaxed; ΔE to the lowest computed polymorph = 0.0 meV/atom; space-group type = I4/mmm (139); E_form = -0.854 eV/atom
1.0
-2.5612 -0.3699 3.2288
-3.0772 -1.0468 -2.5605
5.2585 -8.5895 0.5356
Ru Pm As
2 2 4
direct
0.7501 0.2501 0.5000
0.2501 0.7501 0.5000
0.1147 0.1147 0.2291
0.8856 0.8856 0.7709
0.3190 0.3190 0.6378
0.6812 0.6812 0.3622
0.4999 0.9990 0.0000
0.9990 0.4999 0.0000



No. 8
ZrBeIn PBE-GGA relaxed; ΔE to the lowest computed polymorph = 217.3 meV/atom; space-group type = P6_222 (180); E_form = 0.028 eV/atom
1.0
-1.1239 4.6804 -3.5785
2.9538 -4.7646 -2.1328
-9.1675 -4.3976 -2.8723
Zr Be In
6 6 6
direct
0.5000 0.5000 0.0000
0.0000 0.0000 0.5000
0.0000 0.0000 0.1667
0.0000 0.5000 0.3333
0.0000 0.0000 0.8333
0.5000 0.0000 0.6667
0.3978 0.7955 0.1667
0.3978 0.6022 0.5000
0.6022 0.3978 0.5000
0.7955 0.3978 0.8333
0.6022 0.2045 0.1667
0.2045 0.6022 0.8333
0.5000 0.0000 0.3798
0.5000 0.0000 0.9536
0.5000 0.5000 0.7131
0.0000 0.5000 0.0464
0.5000 0.5000 0.2869
0.0000 0.5000 0.6202



No. 9
Tl2GeHPt PBE-GGA relaxed; space-group type = P4/mmm (123); energy = -17.91 eV for the cell shown
1.0
5.5722 0.0000 0.0000
0.0000 3.3731 0.0000
0.0000 0.0000 5.5722
Tl H Ge Pt
2 1 1 1
direct
0.0000 0.0000 0.5000
0.5000 0.0000 0.0000
0.0000 0.5000 0.0000
0.5000 0.5000 0.5000
0.0000 0.0000 0.0000



No. 10
Tl2SiSe PBE-GGA relaxed; formation energy from raw total energies = 80 kJ/mol of formula units; ΔE to the lowest computed polymorph = 187.4 meV/atom; space-group type = R-3m (166)
1.0
-6.1151 1.2898 -4.1160
-4.2184 -1.8672 -5.8922
-6.5640 -2.4809 -2.5996
Tl Se Si
2 1 1
direct
0.0049 0.0049 0.0049
0.4951 0.4951 0.4951
0.2500 0.2500 0.2500
0.7500 0.7500 0.7500



No. 11
HgPbAu2 PBE-GGA relaxed; ΔE to the lowest computed polymorph = 69.3 meV/atom; space-group type = C2/m (12); E_form = 0.058 eV/atom
1.0
8.1871 -0.1947 -0.4433
-3.1080 3.7214 0.4314
1.9711 1.3269 3.0206
Au Pb Hg
2 1 1
direct
0.0000 0.0000 0.0000
0.5000 0.0000 0.5000
0.5000 0.5000 0.0000
0.0000 0.5000 0.5000



No. 12
Nd9Sm2Tm PBE-GGA relaxed; space-group type = P4/mmm (123); E_form = 0.015 eV/atom
1.0
5.1690 0.0000 0.0000
0.0000 5.1690 0.0000
0.0000 0.0000 15.4996
Nd Tm Sm
9 1 2
direct
0.5000 0.0000 0.8351
0.0000 0.5000 0.1649
0.5000 0.0000 0.5000
0.5000 0.5000 0.6677
0.5000 0.5000 0.3323
0.5000 0.0000 0.1649
0.0000 0.5000 0.5000
0.5000 0.5000 0.0000
0.0000 0.5000 0.8351
0.0000 0.0000 0.0000
0.0000 0.0000 0.6679
0.0000 0.0000 0.3321



No. 13
Rb2USbTe4 PBE-GGA relaxed; formation energy from raw total energies = -514 kJ/mol of formula units; space-group type = P2/m (10)
1.0
-1.5232 -2.9154 3.2761
-3.0126 -4.8054 -5.6769
8.3304 -2.6088 1.5515
Te Sb Rb U
4 1 2 1
direct
0.5000 0.2306 0.1957
0.5000 0.7694 0.8043
0.0000 0.7343 0.1987
0.0000 0.2657 0.8013
0.0000 0.0000 0.0000
0.0000 0.5000 0.5000
0.5000 0.0000 0.5000
0.5000 0.5000 0.0000



No. 14
LuInH PBE-GGA relaxed; ΔE to the lowest computed polymorph = 0.0 meV/atom; space-group type = P-6m2 (187)
1.0
5.2611 0.0000 0.0000
0.0000 3.5088 0.0000
0.0000 -1.7544 3.0387
H Lu In
1 1 1
direct
0.1669 0.6667 0.3333
0.1665 0.0000 0.0000
0.6666 0.3333 0.6667



No. 15
CdHg3O PBE-GGA relaxed; formation energy from raw total energies = 259 kJ/mol of formula units; ΔE to the lowest computed polymorph = 296.1 meV/atom; space-group type = Pm-3m (221)
1.0
-2.3416 -5.0910 0.5509
4.0959 -1.4985 3.5614
-3.0734 1.8818 4.3265
O Hg Cd
1 3 1
direct
0.5000 0.5000 0.5000
0.0000 0.0000 0.5000
0.0000 0.5000 0.0000
0.5000 0.0000 0.0000
0.0000 0.0000 0.0000



No. 16
Ho2FePd PBE-GGA relaxed; space-group type = P4/mmm (123); E_form = -0.392 eV/atom
1.0
3.3881 0.0000 0.0000
0.0000 3.3881 0.0000
0.0000 0.0000 6.8322
Pd Ho Fe
1 2 1
direct
0.5000 0.5000 0.5000
0.0000 0.0000 0.7645
0.0000 0.0000 0.2355
0.5000 0.5000 0.0000



No. 17
CuGe3 PBE-GGA relaxed; ΔE to the lowest computed polymorph = 60.2 meV/atom; space-group type = P6_3/mmc (194); E_form = 0.307 eV/atom
1.0
1.1880 1.6693 3.9663
-1.3130 2.7388 -3.2718
-7.9453 -0.6428 2.6504
Ge Cu
6 2
direct
0.6667 0.3333 0.0743
0.3333 0.6667 0.9257
0.6667 0.3333 0.4257
0.0000 0.0000 0.2500
0.0000 0.0000 0.7500
0.3333 0.6667 0.5743
0.3333 0.6667 0.2500
0.6667 0.3333 0.7500



No. 18
Ho2PbCl PBE-GGA relaxed; formation energy from raw total energies = -214 kJ/mol of formula units; space-group type = R-3m (166)
1.0
-0.2431 1.2824 -3.2428
-3.1366 0.4044 -1.4890
-1.7254 10.3846 2.3521
Ho Pb Cl
2 1 1
direct
0.0977 0.0977 0.7069
0.9023 0.9023 0.2931
0.0000 0.0000 0.0000
0.5000 0.5000 0.5000



No. 19
PuZrRuRh PBE-GGA relaxed; space-group type = F-43m (216); E_form = -0.432 eV/atom
1.0
4.7321 0.0000 0.0000
2.3660 4.0981 0.0000
2.3660 1.3660 3.8637
Zr Pu Rh Ru
1 1 1 1
direct
0.7500 0.7500 0.7500
0.2500 0.2500 0.2500
0.0000 0.0000 0.0000
0.5000 0.5000 0.5000



No. 20
Hf2NbN4 PBE-GGA relaxed; formation energy from raw total energies = -899 kJ/mol of formula units; ΔE to the lowest computed polymorph = 12.4 meV/atom; space-group type = Fd-3m (227)
1.0
-5.0000 -3.8609 -0.6619
0.0410 1.0211 -6.2690
5.2499 -2.0756 2.9126
Hf N Nb
4 8 2
direct
0.1250 0.3750 0.7500
0.6250 0.3750 0.2500
0.6250 0.3750 0.7500
0.6250 0.8750 0.2500
0.8708 0.1293 0.2587
0.3793 0.6208 0.7587
0.3880 0.1294 0.2588
0.3792 0.6207 0.2413
0.8706 0.6120 0.7412
0.8620 0.6206 0.2412
0.8707 0.1292 0.7413
0.3794 0.1380 0.7588
0.0000 0.9999 0.0000
0.2500 0.7501 0.5000